DFT (GGA-PBE) results for a relaxed InAgTe2 crystal.

a = 4.298 Å, b = 6.666 Å, c = 8.317 Å
α = 90.00°, β = 90.00°, γ = 90.00°
Space group Immm (No. 71)
One atom of each set of equivalent atoms:
In 0.000 0.000 0.000 x2
Ag 0.000 0.000 0.500 x2
Te 0.000 0.500 0.209 x4

Values from the calculation:
Density   6.7 Mg/m³
Total magnetic moment   0.0 μB/f.u.
Final energy   -23.50 eV for the cell shown

***

DFT (GGA-PBE) results for a relaxed Tm6PuTe8 crystal.

a = 12.151 Å, b = 12.151 Å, c = 12.151 Å
α = 90.00°, β = 90.00°, γ = 90.00°
Space group Fm-3m (No. 225)
One atom of each set of equivalent atoms:
Tm 0.000 0.250 0.250 x24
Pu 0.000 0.000 0.000 x4
Te 0.000 0.000 0.261 x24
Te 0.250 0.250 0.250 x8

Values from the calculation:
Density   8.4 Mg/m³
Total magnetic moment   6.2 μB/f.u.
Final energy   -339.47 eV for the cell shown

***

DFT (GGA-PBE) results for a relaxed SrZn3I crystal.

a = 5.655 Å, b = 5.655 Å, c = 5.655 Å
α = 90.00°, β = 90.00°, γ = 90.00°
Space group Pm-3m (No. 221)
One atom of each set of equivalent atoms:
Sr 0.000 0.000 0.000 x1
Zn 0.000 0.500 0.500 x3
I 0.500 0.500 0.500 x1

Values from the calculation:
Density   3.8 Mg/m³
Distance to the lowest polymorph of the same formula   75 meV/atom
Total magnetic moment   0.0 μB/f.u.

***

DFT (GGA-PBE) results for a relaxed BaAs3 crystal.

a = 7.450 Å, b = 7.450 Å, c = 7.450 Å
α = 90.00°, β = 90.00°, γ = 90.00°
Space group Fm-3m (No. 225)
One atom of each set of equivalent atoms:
Ba 0.000 0.000 0.000 x4
As 0.000 0.000 0.500 x4
As 0.250 0.250 0.250 x8

Values from the calculation:
ΔH_f (0 K)   -40 meV/atom
Density   5.8 Mg/m³
Total magnetic moment   0.0 μB/f.u.

***

DFT (GGA-PBE) results for a relaxed NaV2Co2 crystal.

a = 7.286 Å, b = 7.286 Å, c = 2.572 Å
α = 90.00°, β = 90.00°, γ = 90.00°
Space group P4/mbm (No. 127)
One atom of each set of equivalent atoms:
Na 0.000 0.000 0.000 x2
V 0.150 0.350 0.500 x4
Co 0.137 0.637 0.000 x4

Values from the calculation:
ΔH_f (0 K)   227 meV/atom
Density   5.9 Mg/m³
Distance to the lowest polymorph of the same formula   0 meV/atom
Total magnetic moment   0.0 μB/f.u.

***

DFT (GGA-PBE) results for a relaxed NiAs2PbBr crystal.

a = 5.473 Å, b = 5.473 Å, c = 5.689 Å
α = 90.00°, β = 90.00°, γ = 90.00°
Space group P4/mmm (No. 123)
One atom of each set of equivalent atoms:
Ni 0.000 0.000 0.000 x1
As 0.000 0.500 0.500 x2
Pb 0.500 0.500 0.500 x1
Br 0.500 0.500 0.000 x1

Values from the calculation:
Density   4.8 Mg/m³
Distance to the lowest polymorph of the same formula   1106 meV/atom
Total magnetic moment   2.6 μB/f.u.

***

DFT (GGA-PBE) results for a relaxed Dy2YMgAu4 crystal.

a = 5.0002 Å, b = 5.0002 Å, c = 24.6807 Å
α = 90.00°, β = 90.00°, γ = 120.00°
Space group R-3m (No. 166, hexagonal axes)
One atom of each set of equivalent atoms:
Dy 0.0000 0.0000 0.2451 x6
Y 0.0000 0.0000 0.0000 x3
Mg 0.0000 0.0000 0.5000 x3
Au 0.0000 0.0000 0.1231 x6
Au 0.0000 0.0000 0.3726 x6

Values from the calculation:
ΔH_f (0 K)   -814 meV/atom
Density   11.4 Mg/m³
Total magnetic moment   0.0 μB/f.u.

***

DFT (GGA-PBE) results for a relaxed PuGeSe2 crystal.

a = 4.1860 Å, b = 4.1860 Å, c = 19.8724 Å
α = 90.00°, β = 90.00°, γ = 120.00°
Space group R-3m (No. 166, hexagonal axes)
One atom of each set of equivalent atoms:
Pu 0.0000 0.0000 0.0000 x3
Ge 0.0000 0.0000 0.5000 x3
Se 0.0000 0.0000 0.2482 x6

Values from the calculation:
Density   7.8 Mg/m³
Distance to the lowest polymorph of the same formula   0 meV/atom
Total magnetic moment   6.0 μB/f.u.

***

DFT (GGA-PBE) results for a relaxed Tb3CdIn2 crystal.

a = 5.3369 Å, b = 5.3369 Å, c = 13.0270 Å
α = 90.00°, β = 90.00°, γ = 120.00°
Space group P-3m1 (No. 164)
One atom of each set of equivalent atoms:
Tb 0.0000 0.0000 0.2497 x2
Tb 0.3333 0.6667 0.4168 x2
Tb 0.3333 0.6667 0.9176 x2
Cd 0.3333 0.6667 0.1680 x2
In 0.0000 0.0000 0.0000 x1
In 0.0000 0.0000 0.5000 x1
In 0.3333 0.6667 0.6710 x2

Values from the calculation:
ΔH_f (0 K)   -438 meV/atom
Density   8.5 Mg/m³
Distance to the lowest polymorph of the same formula   0 meV/atom
Total magnetic moment   0.0 μB/f.u.

***

DFT (GGA-PBE) results for a relaxed LiAl2NiB crystal.

a = 4.147 Å, b = 4.147 Å, c = 3.895 Å
α = 90.00°, β = 90.00°, γ = 90.00°
Space group P4/mmm (No. 123)
One atom of each set of equivalent atoms:
Li 0.000 0.000 0.000 x1
Al 0.000 0.500 0.500 x2
Ni 0.500 0.500 0.000 x1
B 0.500 0.500 0.500 x1

Values from the calculation:
ΔH_f (0 K)   20 meV/atom
Density   3.2 Mg/m³
Total magnetic moment   0.0 μB/f.u.

***

DFT (GGA-PBE) results for a relaxed HfSi3B crystal.

a = 5.038 Å, b = 5.038 Å, c = 5.038 Å
α = 90.00°, β = 90.00°, γ = 90.00°
Space group Pm-3m (No. 221)
One atom of each set of equivalent atoms:
Hf 0.000 0.000 0.000 x1
Si 0.000 0.000 0.500 x3
B 0.500 0.500 0.500 x1

Values from the calculation:
Density   3.6 Mg/m³
Distance to the lowest polymorph of the same formula   1160 meV/atom
Total magnetic moment   0.0 μB/f.u.

***

DFT (GGA-PBE) results for a relaxed EuIn2 crystal.

a = 5.0333 Å, b = 5.0333 Å, c = 7.7893 Å
α = 90.00°, β = 90.00°, γ = 120.00°
Space group P6_3/mmc (No. 194)
One atom of each set of equivalent atoms:
Eu 0.0000 0.0000 0.2500 x2
In 0.3333 0.6667 0.0430 x4

Values from the calculation:
ΔH_f (0 K)   -482 meV/atom
Density   7.4 Mg/m³
Total magnetic moment   7.1 μB/f.u.

***

Among the records above, which one has the highest density?
Dy2YMgAu4

***

total magnetic moment of number 3 (SrZn3I)?
0.0 μB/f.u.